Entry 1:
Material: Ca3Ac3In2Pd
Method: DFT, PBE
State: relaxed

Summary:
Energy relative to the elements   -0.38 eV per atom
DOS at the Fermi energy   7.13 states/eV/f.u.
Total energy   -32.43 eV per cell
Magnetization   0.000 μB/atom

Unit cell a=9.3057 b=9.3057 c=4.1522 alpha=90.00 beta=90.00 gamma=120.00
Sites, in units of the cell vectors:
Ca  0.0000  0.4095  0.0000
Ca  0.4095  0.0000  0.0000
Ca  0.5905  0.5905  0.0000
Ac  0.0000  0.7533  0.5000
Ac  0.2467  0.2467  0.5000
Ac  0.7533  0.0000  0.5000
In  0.3333  0.6667  0.5000
In  0.6667  0.3333  0.5000
Pd  0.0000  0.0000  0.0000

=====

Entry 2:
Material: Ca2AcPmIn4
Method: DFT, PBE
State: relaxed

Summary:
Energy relative to the elements   -0.45 eV per atom
DOS at the Fermi energy   6.53 states/eV/f.u.
Total energy   -27.40 eV per cell
Magnetization   0.000 μB/atom

Unit cell a=9.6518 b=9.6518 c=9.6518 alpha=33.38 beta=33.38 gamma=33.38
Sites, in units of the cell vectors:
Ca  0.2493  0.2493  0.2493
Ca  0.7507  0.7507  0.7507
Ac  0.0000  0.0000  0.0000
Pm  0.5000  0.5000  0.5000
In  0.1275  0.1275  0.1275
In  0.3795  0.3795  0.3795
In  0.6205  0.6205  0.6205
In  0.8725  0.8725  0.8725

=====

Entry 3:
Material: CaAcPmIn
Method: DFT, PBE
State: relaxed

Summary:
Energy relative to the elements   -0.02 eV per atom
DOS at the Fermi energy   6.71 states/eV/f.u.
Total energy   -54.79 eV per cell
Magnetization   0.003 μB/atom

Unit cell a=8.1580 b=8.1580 c=8.1580 alpha=90.00 beta=90.00 gamma=90.00
Sites, in units of the cell vectors:
Ca  0.0000  0.0000  0.0000
Ca  0.0000  0.5000  0.5000
Ca  0.5000  0.0000  0.5000
Ca  0.5000  0.5000  0.0000
Ac  0.2500  0.2500  0.2500
Ac  0.2500  0.7500  0.7500
Ac  0.7500  0.2500  0.7500
Ac  0.7500  0.7500  0.2500
Pm  0.0000  0.0000  0.5000
Pm  0.0000  0.5000  0.0000
Pm  0.5000  0.0000  0.0000
Pm  0.5000  0.5000  0.5000
In  0.2500  0.2500  0.7500
In  0.2500  0.7500  0.2500
In  0.7500  0.2500  0.2500
In  0.7500  0.7500  0.7500